DFT (PBE-GGA) results for a relaxed structure of Li3Sn2Pd7.

E_form (kJ/mol of formula units): -377
D(E_F) (states/eV per cell): 4.177
Size of the total moment (μB per cell): 0.000

Lattice parameters (Å, degrees): 4.399 3.126 15.068 90.00 98.38 90.00
Space group P2/m (No. 10)
Asymmetric unit:
1 Li 0.000 0.000 0.000 x1
2 Li 0.301 0.500 0.601 x2
3 Sn 0.136 0.000 0.273 x2
4 Pd 0.064 0.500 0.128 x2
5 Pd 0.223 0.000 0.446 x2
6 Pd 0.418 0.000 0.836 x2
7 Pd 0.500 0.500 0.000 x1


DFT (PBE-GGA) results for a relaxed structure of AcPrTh2Se4.

D(E_F) (states/eV per cell): 5.473
Size of the total moment (μB per cell): 0.000
Formation energy without anion corrections (kJ/mol of formula units): -1291

Lattice parameters (Å, degrees): 7.347 4.301 7.461 90.00 109.56 90.00
Space group P2/m (No. 10)
Asymmetric unit:
1 Ac 0.000 0.000 0.000 x1
2 Pr 0.500 0.500 0.000 x1
3 Th 0.000 0.500 0.500 x1
4 Th 0.500 0.000 0.500 x1
5 Se 0.253 0.000 0.743 x2
6 Se 0.259 0.500 0.260 x2


DFT (PBE-GGA) results for a relaxed structure of MnPS2.

D(E_F) (states/eV per cell): 5.625
Size of the total moment (μB per cell): 0.000
Formation energy without anion corrections (kJ/mol of formula units): 94

Lattice parameters (Å, degrees): 5.653 5.653 8.873 90.00 90.00 90.00
Space group I-42d (No. 122)
Asymmetric unit:
1 Mn 0.000 0.000 0.000 x4
2 P 0.000 0.000 0.500 x4
3 S 0.205 0.250 0.125 x8


DFT (PBE-GGA) results for a relaxed structure of LuSn2Pt.

E_form (kJ/mol of formula units): -56
D(E_F) (states/eV per cell): 9.838
Size of the total moment (μB per cell): 0.000

Lattice parameters (Å, degrees): 3.4809 3.4809 29.8843 90.00 90.00 120.00
Space group R-3m (No. 166, hexagonal axes)
Asymmetric unit:
1 Lu 0.0000 0.0000 0.0000 x3
2 Sn 0.0000 0.0000 0.1032 x6
3 Pt 0.0000 0.0000 0.5000 x3


DFT (PBE-GGA) results for a relaxed structure of AgGe2Pt4.

E_form (kJ/mol of formula units): -204
D(E_F) (states/eV per cell): 5.473
Size of the total moment (μB per cell): 0.000

Lattice parameters (Å, degrees): 17.431 4.041 6.541 90.00 90.00 90.00
Space group Pnma (No. 62)
Asymmetric unit:
1 Ag 0.145 0.250 0.069 x4
2 Ge 0.036 0.750 0.211 x4
3 Ge 0.190 0.250 0.634 x4
4 Pt 0.057 0.750 0.834 x4
5 Pt 0.058 0.250 0.488 x4
6 Pt 0.166 0.750 0.385 x4
7 Pt 0.221 0.750 0.833 x4


DFT (PBE-GGA) results for a relaxed structure of LaY2BiH.

Electronic total energy (eV per atom): -5.50
D(E_F) (states/eV per cell): 3.969
Size of the total moment (μB per cell): 0.000

Lattice parameters (Å, degrees): 4.983 4.983 4.869 90.00 90.00 90.00
Space group P4/mmm (No. 123)
Asymmetric unit:
1 La 0.000 0.000 0.000 x1
2 Y 0.000 0.500 0.500 x2
3 Bi 0.500 0.500 0.000 x1
4 H 0.000 0.000 0.500 x1


DFT (PBE-GGA) results for a relaxed structure of Al2TcPt.

E_form (kJ/mol of formula units): -198
D(E_F) (states/eV per cell): 2.641
Size of the total moment (μB per cell): 0.000

Lattice parameters (Å, degrees): 2.771 3.941 5.403 90.00 90.00 90.00
Space group Pmm2 (No. 25)
Asymmetric unit:
1 Al 0.000 0.000 0.000 x1
2 Al 0.500 0.500 0.292 x1
3 Tc 0.500 0.500 0.804 x1
4 Pt 0.000 0.000 0.489 x1


DFT (PBE-GGA) results for a relaxed structure of KTaTe.

Energy above the lowest structure with this stoichiometry (kJ/mol of formula units): 361.8
D(E_F) (states/eV per cell): 9.685
Size of the total moment (μB per cell): 15.807
Formation energy without anion corrections (kJ/mol of formula units): 464

Lattice parameters (Å, degrees): 7.425 7.425 7.425 90.00 90.00 90.00
Space group F-43m (No. 216)
Asymmetric unit:
1 K 0.000 0.000 0.000 x4
2 Ta 0.250 0.250 0.250 x4
3 Te 0.250 0.250 0.750 x4